VASP calculation (PBE-GGA) on a relaxed Ge2Te2S crystal.

The structure in CIF format:
```
data_Ge2Te2S
_chemical_formula_sum 'Ge4 Te4 S2'
_cell_length_a 7.8180
_cell_length_b 7.8180
_cell_length_c 4.1792
_cell_angle_alpha 90.00
_cell_angle_beta 90.00
_cell_angle_gamma 90.00
_space_group_name_H-M_alt 'P 4/m b m'
_space_group_IT_number 127
_space_group_name_Hall '-P 4 2ab'
loop_
_atom_site_label
_atom_site_fract_x
_atom_site_fract_y
_atom_site_fract_z
Ge1 0.2027 0.2973 0.0000
Te1 0.1372 0.6372 0.5000
S1 0.0000 0.0000 0.0000
```

Results
DOS(E_F) ... 8.1 states/eV per cell
Energy above the most stable polymorph in this dataset ... 1.58 eV/f.u.
Energy relative to the elements, uncorrected ... 235 meV/atom
Calculated density ... 5.62 g cm⁻³

VASP calculation (PBE-GGA) on a relaxed Nb2AlSbH crystal.

The structure in CIF format:
```
data_Nb2AlSbH
_chemical_formula_sum 'Nb2 Al1 Sb1 H1'
_cell_length_a 5.1285
_cell_length_b 5.1285
_cell_length_c 3.2858
_cell_angle_alpha 90.00
_cell_angle_beta 90.00
_cell_angle_gamma 90.00
_space_group_name_H-M_alt 'P 4/m m m'
_space_group_IT_number 123
_space_group_name_Hall '-P 4 2'
loop_
_atom_site_label
_atom_site_fract_x
_atom_site_fract_y
_atom_site_fract_z
Nb1 0.0000 0.5000 0.0000
Al1 0.0000 0.0000 0.0000
Sb1 0.5000 0.5000 0.5000
H1 0.0000 0.0000 0.5000
```

Results
DOS(E_F) ... 6.0 states/eV per cell
Final energy ... -28.1 eV for the cell shown
Calculated density ... 6.45 g cm⁻³

VASP calculation (PBE-GGA) on a relaxed BeOF2 crystal.

The structure in CIF format:
```
data_BeOF2
_chemical_formula_sum 'Be3 O3 F6'
_cell_length_a 3.0706
_cell_length_b 3.0706
_cell_length_c 23.5169
_cell_angle_alpha 90.00
_cell_angle_beta 90.00
_cell_angle_gamma 120.00
_space_group_name_H-M_alt 'R -3 m'
_space_group_IT_number 166
_space_group_name_Hall '-R 3 2"'
loop_
_atom_site_label
_atom_site_fract_x
_atom_site_fract_y
_atom_site_fract_z
Be1 0.0000 0.0000 0.0000
O1 0.0000 0.0000 0.5000
F1 0.0000 0.0000 0.0582
```

Results
DOS(E_F) ... 3.1 states/eV per cell
Energy above the most stable polymorph in this dataset ... 2.52 eV/f.u.
Energy relative to the elements, uncorrected ... -1063 meV/atom
Calculated density ... 1.63 g cm⁻³

VASP calculation (PBE-GGA) on a relaxed Ho8Er5Th crystal.

The structure in CIF format:
```
data_Ho8Er5Th
_chemical_formula_sum 'Ho16 Er10 Th2'
_cell_length_a 9.5003
_cell_length_b 9.5003
_cell_length_c 9.9996
_cell_angle_alpha 90.00
_cell_angle_beta 90.00
_cell_angle_gamma 90.00
_space_group_name_H-M_alt 'I -4'
_space_group_IT_number 82
loop_
_space_group_symop_operation_xyz
'x,y,z'
'y,-x,-z'
'-x,-y,z'
'-y,x,-z'
'x+1/2,y+1/2,z+1/2'
'y+1/2,-x+1/2,-z+1/2'
'-x+1/2,-y+1/2,z+1/2'
'-y+1/2,x+1/2,-z+1/2'
loop_
_atom_site_label
_atom_site_fract_x
_atom_site_fract_y
_atom_site_fract_z
Ho1 0.0693 0.3259 0.0917
Ho2 0.0924 0.1712 0.7487
Er1 0.0000 0.0000 0.0000
Er2 0.1147 0.2103 0.4222
Th1 0.0000 0.5000 0.7500
```

Results
DOS(E_F) ... 48.9 states/eV per cell
Final energy ... -125.5 eV for the cell shown
Calculated density ... 8.79 g cm⁻³